(1)
Compound: Ba2Pb2Au
Source: Alexandria via LeMat-Bulk
Functional: PBE
Structure: relaxed

Unit cell a=8.087 b=8.087 c=5.479 alpha=90.00 beta=90.00 gamma=90.00
Space group P4/mbm (No. 127)
Asymmetric unit:
Ba (0.162, 0.338, 0.000)
Pb (0.145, 0.645, 0.500)
Au (0.000, 0.000, 0.500)

Excess energy over the best structure of this formula in the dataset in meV per atom: 132
ΔE_f in eV per atom: -0.44
DOS(E_F) in states/eV per cell: 4.1

***

(2)
Compound: Ba2Pb3Au
Source: Alexandria via LeMat-Bulk
Functional: PBE
Structure: relaxed

Unit cell a=12.427 b=5.302 c=8.569 alpha=90.00 beta=133.34 gamma=90.00
Space group Cm (No. 8)
Asymmetric unit:
Ba (0.000, 0.000, 0.000)
Ba (0.103, 0.000, 0.607)
Pb (0.195, 0.500, 0.975)
Pb (0.222, 0.500, 0.395)
Pb (0.389, 0.000, 0.235)
Au (0.369, 0.000, 0.586)

Excess energy over the best structure of this formula in the dataset in meV per atom: 0
ΔE_f in eV per atom: -0.49
DOS(E_F) in states/eV per cell: 8.4

***

(3)
Compound: BaPb2Au2
Source: Alexandria via LeMat-Bulk
Functional: PBE
Structure: relaxed

Unit cell a=8.884 b=8.884 c=3.552 alpha=90.00 beta=90.00 gamma=90.00
Space group P4/mbm (No. 127)
Asymmetric unit:
Ba (0.000, 0.000, 0.000)
Pb (0.131, 0.369, 0.000)
Au (0.163, 0.663, 0.500)

ΔE_f in eV per atom: -0.22
DOS(E_F) in states/eV per cell: 7.8

***

(4)
Compound: BaPbAu2
Source: Alexandria via LeMat-Bulk
Functional: PBE
Structure: relaxed

Unit cell a=4.233 b=4.233 c=6.847 alpha=90.00 beta=90.00 gamma=90.00
Space group P4mm (No. 99)
Asymmetric unit:
Ba (0.000, 0.000, 0.000)
Pb (0.500, 0.500, 0.393)
Au (0.000, 0.000, 0.488)
Au (0.500, 0.500, 0.812)

ΔE_f in eV per atom: -0.35
DOS(E_F) in states/eV per cell: 1.9

***

(5)
Compound: Ba2Pb3Au2
Source: Alexandria via LeMat-Bulk
Functional: PBE
Structure: relaxed

Unit cell a=11.377 b=4.931 c=9.108 alpha=90.00 beta=116.98 gamma=90.00
Space group C2/m (No. 12)
Asymmetric unit:
Ba (0.120, 0.000, 0.281)
Pb (0.000, 0.500, 0.500)
Pb (0.150, 0.500, 0.958)
Au (0.166, 0.000, 0.682)

Excess energy over the best structure of this formula in the dataset in meV per atom: 0
ΔE_f in eV per atom: -0.48
DOS(E_F) in states/eV per cell: 6.9

***

(6)
Compound: BaPb3Au3
Source: Alexandria via LeMat-Bulk
Functional: PBE
Structure: relaxed

Unit cell a=7.874 b=7.874 c=7.874 alpha=90.00 beta=90.00 gamma=90.00
Space group Pm-3n (No. 223)
Asymmetric unit:
Ba (0.000, 0.000, 0.000)
Pb (0.000, 0.250, 0.500)
Au (0.000, 0.500, 0.250)

Excess energy over the best structure of this formula in the dataset in meV per atom: 198
ΔE_f in eV per atom: -0.13
DOS(E_F) in states/eV per cell: 7.5

***

(7)
Compound: BaPdPb3Au
Source: Alexandria via LeMat-Bulk
Functional: PBE
Structure: relaxed

Unit cell a=7.269 b=15.438 c=7.290 alpha=90.00 beta=90.00 gamma=90.00
Space group Cmcm (No. 63)
Asymmetric unit:
Ba (0.000, 0.206, 0.250)
Pd (0.000, 0.054, 0.750)
Pb (0.000, 0.224, 0.750)
Pb (0.237, 0.500, 0.000)
Au (0.000, 0.400, 0.750)

ΔE_f in eV per atom: -0.19
DOS(E_F) in states/eV per cell: 14.9

***

(8)
Compound: BaPd4Pb2Au
Source: Alexandria via LeMat-Bulk
Functional: PBE
Structure: relaxed

Unit cell a=4.6734 b=4.6734 c=28.7814 alpha=90.00 beta=90.00 gamma=120.00
Space group R-3m (No. 166, hexagonal axes)
Asymmetric unit:
Ba (0.0000, 0.0000, 0.0000)
Pd (0.0000, 0.0000, 0.1334)
Pd (0.0000, 0.0000, 0.4048)
Pb (0.0000, 0.0000, 0.2357)
Au (0.0000, 0.0000, 0.5000)

ΔE_f in eV per atom: -0.31
DOS(E_F) in states/eV per cell: 13.0

***

Number 1: calculated volume 358.4 Å³/cell, spin magnetization 0.000 μB/atom. Number 2: calculated volume 410.6 Å³/cell, spin magnetization 0.000 μB/atom. Number 3: calculated volume 280.4 Å³/cell, spin magnetization 0.000 μB/atom. Number 4: calculated volume 122.7 Å³/cell, spin magnetization 0.000 μB/atom. Number 5: calculated volume 455.4 Å³/cell, spin magnetization 0.000 μB/atom. Number 6: calculated volume 488.1 Å³/cell, spin magnetization 0.000 μB/atom. Number 7: calculated volume 818.0 Å³/cell, spin magnetization 0.000 μB/atom. Number 8: calculated volume 544.4 Å³/cell, spin magnetization 0.000 μB/atom.